Entry 1:
The following is a DFT calculation (GGA-PBE) of a relaxed structure of HBr.

extended XYZ file:
```
12
Lattice="-0.7643 0.8410 3.7500 -0.7717 -5.4612 1.0675 11.9818 -1.1646 2.7031" Properties=species:S:1:pos:R:3 pbc="T T T"
H 6.2312 -6.1317 2.6451
H 10.5877 -0.6559 4.3521
H 0.6270 0.3123 2.1049
H 4.2101 -5.9353 2.1891
H -0.5704 -4.0369 0.7891
H 5.4075 -1.5861 3.5050
Br 9.7378 -5.1078 3.1301
Br 7.0811 -1.6798 3.8671
Br 3.7531 -1.3563 3.1163
Br 1.0840 -4.2667 1.1778
Br 5.3755 -4.9378 2.2029
Br -0.5384 -0.6851 2.0911
```

## Properties
E_tot = -2.539 eV per atom
Space group = No. 59

---

Entry 2:
The following is a DFT calculation (GGA-PBE) of a relaxed structure of Pa2TlCd.

extended XYZ file:
```
4
Lattice="3.1594 0.0000 0.0000 1.5797 2.7361 0.0000 1.5797 0.9120 12.3463" Properties=species:S:1:pos:R:3 pbc="T T T"
Tl 3.1594 1.8241 6.1732
Pa 1.5797 0.9120 9.0401
Pa 4.7391 2.7361 3.3062
Cd 0.0000 0.0000 0.0000
```

## Properties
E_tot = -5.240 eV per atom
Space group = No. 166

---

Entry 3:
The following is a DFT calculation (GGA-PBE) of a relaxed structure of ReSi2Rh.

extended XYZ file:
```
4
Lattice="-0.2185 -3.0183 2.9192 -3.6530 -0.8085 1.9187 -2.0598 -3.5727 -0.8200" Properties=species:S:1:pos:R:3 pbc="T T T"
Re -2.9657 -3.6997 2.0089
Si -1.4828 -1.8499 1.0045
Si -4.4485 -5.5496 3.0134
Rh 0.0000 0.0000 0.0000
```

## Properties
E_tot = -8.100 eV per atom
Energy relative to the elements, uncorrected = -439 meV per atom
Space group = No. 225
Energy above the most stable polymorph in this dataset = 7.8 meV/atom

---

Entry 4:
The following is a DFT calculation (GGA-PBE) of a relaxed structure of V3Mo3W2.

extended XYZ file:
```
8
Lattice="-4.0253 -0.8160 1.5114 0.6898 -4.3468 -0.5097 3.9025 2.2488 5.2711" Properties=species:S:1:pos:R:3 pbc="T T T"
V 2.0340 -2.4241 4.1084
V -1.6678 -2.5814 0.5009
V -1.4671 -0.4900 2.1645
Mo -0.3353 -0.6575 5.0883
Mo 0.9022 -2.2565 1.1846
Mo 0.0000 0.0000 0.0000
W -0.5570 -2.7473 3.3696
W 1.1239 -0.1668 2.9032
```

## Properties
E_tot = -10.827 eV per atom
Space group = No. 12
Energy above the most stable polymorph in this dataset = 12.2 meV/atom

---

Entry 5:
The following is a DFT calculation (GGA-PBE) of a relaxed structure of SmHoZn.

extended XYZ file:
```
12
Lattice="-3.8250 -1.8609 2.5590 4.5096 -3.0505 4.5223 -0.1727 8.1720 5.6846" Properties=species:S:1:pos:R:3 pbc="T T T"
Ho 1.6117 -3.4580 7.1167
Ho 1.2246 1.1186 5.0513
Ho -1.0998 6.7185 5.6492
Ho -0.7127 2.1420 7.7145
Zn 0.4387 -0.6087 7.4352
Zn 0.1397 -0.2033 2.4684
Zn 0.0732 3.8693 5.3306
Zn 0.3722 3.4639 10.2974
Sm -0.6438 -1.8471 4.9167
Sm 3.4823 -0.4937 7.2535
Sm 1.1557 5.1077 7.8491
Sm -2.9704 3.7543 5.5124
```

## Properties
E_tot = -3.496 eV per atom
Space group = No. 62
Energy above the most stable polymorph in this dataset = 234.2 meV/atom

---

Entry 6:
The following is a DFT calculation (GGA-PBE) of a relaxed structure of ScTlIr.

extended XYZ file:
```
3
Lattice="-3.3874 0.2491 -3.0516 0.0148 -2.7357 -3.6558 -3.0360 -3.3951 -0.3231" Properties=species:S:1:pos:R:3 pbc="T T T"
Ir -3.2043 -2.9409 -3.5152
Sc -4.8065 -4.4113 -5.2728
Tl 0.0000 0.0000 0.0000
```

## Properties
E_tot = -5.749 eV per atom
Space group = No. 216

---

Entry 7:
The following is a DFT calculation (GGA-PBE) of a relaxed structure of Pr2ScGa3.

extended XYZ file:
```
6
Lattice="3.6051 0.0000 0.0000 0.0000 6.0461 0.0000 -1.8026 -3.0230 7.2493" Properties=species:S:1:pos:R:3 pbc="T T T"
Pr 1.8026 0.0000 2.4888
Pr 0.0000 3.0230 4.7605
Sc 0.0000 3.0230 0.0000
Ga 0.0000 0.0000 5.0606
Ga 0.0000 0.0000 0.0000
Ga 1.8026 3.0230 2.1887
```

## Properties
E_tot = -4.453 eV per atom
Space group = No. 71

---

Entry 8:
The following is a DFT calculation (GGA-PBE) of a relaxed structure of PmGdI.

extended XYZ file:
```
3
Lattice="3.9030 0.0000 0.0000 -1.9515 3.3801 0.0000 0.0000 0.0000 7.6799" Properties=species:S:1:pos:R:3 pbc="T T T"
I 1.9515 1.1267 2.5724
Gd 0.0000 2.2534 5.0383
Pm 0.0000 0.0000 0.0693
```

## Properties
E_tot = -7.349 eV per atom
Energy relative to the elements, uncorrected = -555 meV per atom
Space group = No. 156
Energy above the most stable polymorph in this dataset = 0.0 meV/atom

---

Entry 9:
The following is a DFT calculation (GGA-PBE) of a relaxed structure of CsNa2CaZn.

extended XYZ file:
```
5
Lattice="-3.0313 4.2291 3.2895 -5.3557 -2.4993 -1.7220 0.1478 -3.5947 4.7576" Properties=species:S:1:pos:R:3 pbc="T T T"
Cs -4.1196 -0.9324 3.1626
Na -2.6778 -1.2497 -0.8610
Na -1.5156 2.1146 1.6448
Zn 0.0000 0.0000 0.0000
Ca 0.0739 -1.7973 2.3788
```

## Properties
E_tot = -1.242 eV per atom
Space group = No. 123

---

Entry 10:
The following is a DFT calculation (GGA-PBE) of a relaxed structure of Tb3Sm2DySe6.

extended XYZ file:
```
12
Lattice="4.1026 0.0000 0.0000 0.0000 8.2719 0.2848 -2.0513 -2.3953 8.6476" Properties=species:S:1:pos:R:3 pbc="T T T"
Tb 2.0513 4.1359 0.1424
Tb 2.0513 -0.2060 5.7729
Tb 0.0000 6.0826 3.1594
Sm 2.0513 3.9068 5.9309
Sm 0.0000 1.9698 3.0014
Dy 2.0513 0.0000 0.0000
Se 0.0000 6.0252 6.0565
Se 2.0513 4.0704 3.0098
Se 2.0513 -0.1487 2.8758
Se 2.0513 -0.3395 8.6833
Se 0.0000 6.2160 0.2490
Se 0.0000 1.8061 5.9225
```

## Properties
E_tot = -5.854 eV per atom
Energy relative to the elements, uncorrected = -1784 meV per atom
Space group = No. 12

---

Entry 11:
The following is a DFT calculation (GGA-PBE) of a relaxed structure of LaBeI2O.

extended XYZ file:
```
5
Lattice="-2.1325 0.4225 5.4777 1.0148 -5.7444 0.8381 3.0819 0.7115 1.1449" Properties=species:S:1:pos:R:3 pbc="T T T"
I 0.5074 -2.8722 0.4191
I -1.0662 0.2112 2.7388
Be 0.0000 0.0000 0.0000
O 1.5409 0.3557 0.5725
La 0.9821 -2.3053 3.7303
```

## Properties
E_tot = -4.424 eV per atom
Energy relative to the elements, uncorrected = -1081 meV per atom
Space group = No. 123
Energy above the most stable polymorph in this dataset = 0.0 meV/atom

---

Entry 12:
The following is a DFT calculation (GGA-PBE) of a relaxed structure of ZnIrCl2.

extended XYZ file:
```
4
Lattice="7.6477 0.0387 -0.1479 7.0256 3.0216 -0.1479 0.3778 0.0788 4.0358" Properties=species:S:1:pos:R:3 pbc="T T T"
Zn 12.3551 2.5768 1.8408
Ir 7.0491 1.4702 1.9896
Cl 14.5107 3.0264 -0.2316
Cl 3.3350 0.6956 1.7153
```

## Properties
E_tot = -3.388 eV per atom
Energy relative to the elements, uncorrected = 69 meV per atom
Space group = No. 8
Energy above the most stable polymorph in this dataset = 279.0 meV/atom

---

- What is the E_tot in the seventh record?
  -4.453 eV per atom

---

- The lowest E_tot belongs to which entry?
  V3Mo3W2

---

- What is the E_tot in the eighth record?
  -7.349 eV per atom